Here is a relaxed structure of B7C from Alexandria via LeMat-Bulk. Energies are from GGA-PBE.

a = 2.3229 Å, b = 2.3229 Å, c = 10.1749 Å
α = 90.00°, β = 90.00°, γ = 90.00°
Last column: nearest neighbours and their distance in Å.
Fractional coordinates of all 8 atoms:
B (0.0000, 0.0000, 0.0000)  4 B 1.77
B (0.0000, 0.5000, 0.3916)  2 C 1.60, 2 B 1.77
B (0.0000, 0.5000, 0.8689)  4 B 1.75-1.77
B (0.5000, 0.0000, 0.1311)  4 B 1.75-1.77
B (0.5000, 0.0000, 0.6084)  2 C 1.60, 2 B 1.77
B (0.5000, 0.5000, 0.2601)  4 B 1.75-1.77
B (0.5000, 0.5000, 0.7399)  4 B 1.75-1.77
C (0.0000, 0.0000, 0.5000)  4 B 1.60

**Excess energy over the best structure of this formula in the dataset**: 0.0989 eV per atom
**Energy of formation**: 429 meV per atom
**V**: 6.9 Å³/atom
**Fermi-level density of states**: 0.87 states/eV/cell
**E_tot**: -52.5 eV for the cell shown

Here is a relaxed structure of BC from Alexandria via LeMat-Bulk. Energies are from GGA-PBE.

a = 4.7046 Å, b = 2.6121 Å, c = 6.6829 Å
α = 90.00°, β = 91.13°, γ = 90.00°
Last column: nearest neighbours and their distance in Å.
Fractional coordinates of all 12 atoms:
B (0.0000, 0.0000, 0.0000)  3 C 1.55-1.57
B (0.0891, 0.5000, 0.6459)  4 C 1.63-1.68
B (0.2703, 0.0000, 0.3123)  4 C 1.63-1.70
B (0.4037, 0.5000, 0.9984)  2 C 1.59-1.65
B (0.5681, 0.0000, 0.8583)  1 C 1.59
B (0.7619, 0.5000, 0.3097)  4 C 1.57-1.71
C (0.0854, 0.5000, 0.8914)  4 B 1.55-1.65
C (0.2829, 0.0000, 0.5665)  1 C 1.54, 3 B 1.68-1.70
C (0.4438, 0.5000, 0.2345)  4 B 1.57-1.63
C (0.6017, 0.0000, 0.6217)  3 C 1.54-1.56, 1 B 1.59
C (0.7609, 0.5000, 0.5651)  2 C 1.56, 2 B 1.63-1.71
C (0.9417, 0.0000, 0.2306)  4 B 1.57-1.65

**Excess energy over the best structure of this formula in the dataset**: 0.2684 eV per atom
**Energy of formation**: 419 meV per atom
**V**: 6.8 Å³/atom
**Fermi-level density of states**: 3.18 states/eV/cell
**E_tot**: -90.4 eV for the cell shown

Here is a relaxed structure of BC from Alexandria via LeMat-Bulk. Energies are from GGA-PBE.

a = 3.5407 Å, b = 2.6571 Å, c = 8.2740 Å
α = 90.00°, β = 98.87°, γ = 90.00°
Last column: nearest neighbours and their distance in Å.
Fractional coordinates of all 12 atoms:
B (0.0106, 0.0000, 0.1060)  1 C 1.59, 3 B 1.74-1.76
B (0.2831, 0.5000, 0.0442)  4 B 1.76-1.91
B (0.4441, 0.5000, 0.7384)  3 C 1.60-1.66
B (0.5559, 0.5000, 0.2616)  3 C 1.60-1.66
B (0.7169, 0.5000, 0.9558)  4 B 1.76-1.91
B (0.9894, 0.0000, 0.8940)  1 C 1.59, 3 B 1.74-1.76
C (0.1022, 0.0000, 0.4203)  4 C 1.53-1.60
C (0.1921, 0.0000, 0.7355)  1 C 1.53, 3 B 1.59-1.60
C (0.3440, 0.5000, 0.4268)  3 C 1.51-1.58, 1 B 1.66
C (0.6560, 0.5000, 0.5732)  3 C 1.51-1.58, 1 B 1.66
C (0.8079, 0.0000, 0.2645)  1 C 1.53, 3 B 1.59-1.60
C (0.8978, 0.0000, 0.5797)  4 C 1.53-1.60

**Excess energy over the best structure of this formula in the dataset**: 0.2329 eV per atom
**Energy of formation**: 384 meV per atom
**V**: 6.4 Å³/atom
**Fermi-level density of states**: 2.14 states/eV/cell
**E_tot**: -90.8 eV for the cell shown

Here is a relaxed structure of BC from Alexandria via LeMat-Bulk. Energies are from GGA-PBE.

a = 4.1885 Å, b = 4.3342 Å, c = 5.0633 Å
α = 107.49°, β = 104.46°, γ = 107.12°
Last column: nearest neighbours and their distance in Å.
Fractional coordinates of all 12 atoms:
B (0.0000, 0.0000, 0.0000)  2 C 1.59, 1 B 1.73
B (0.0014, 0.3453, 0.8686)  2 C 1.63-1.68, 1 B 1.81
B (0.3017, 0.0549, 0.8224)  3 C 1.60-1.74, 1 B 1.73
B (0.4712, 0.8254, 0.3288)  2 C 1.64-1.70
B (0.5168, 0.4908, 0.4990)  3 C 1.59-1.63
B (0.8374, 0.2591, 0.4503)  2 C 1.56-1.70
C (0.1349, 0.1687, 0.3532)  1 C 1.56, 3 B 1.56-1.59
C (0.1659, 0.8776, 0.4657)  2 C 1.54-1.56, 2 B 1.60-1.64
C (0.3277, 0.7357, 0.9575)  1 C 1.54, 2 B 1.68-1.70
C (0.6261, 0.6672, 0.8546)  2 C 1.54-1.56, 2 B 1.59-1.61
C (0.6800, 0.3921, 0.9806)  2 C 1.56, 2 B 1.61-1.63
C (0.7905, 0.5714, 0.3244)  2 C 1.54-1.56, 2 B 1.63-1.70

**Excess energy over the best structure of this formula in the dataset**: 0.2357 eV per atom
**Energy of formation**: 387 meV per atom
**V**: 6.5 Å³/atom
**Fermi-level density of states**: 1.22 states/eV/cell
**E_tot**: -90.8 eV for the cell shown

Here is a relaxed structure of BC from Alexandria via LeMat-Bulk. Energies are from GGA-PBE.

a = 3.7246 Å, b = 4.4606 Å, c = 5.3152 Å
α = 104.63°, β = 94.83°, γ = 106.40°
Last column: nearest neighbours and their distance in Å.
Fractional coordinates of all 12 atoms:
B (0.0779, 0.3048, 0.4375)  2 C 1.65-1.66, 1 B 1.76
B (0.2734, 0.9775, 0.2072)  2 C 1.56-1.61
B (0.3203, 0.0332, 0.5847)  1 C 1.64, 3 B 1.73-1.82
B (0.6797, 0.9668, 0.4153)  1 C 1.64, 3 B 1.73-1.82
B (0.7266, 0.0225, 0.7928)  2 C 1.56-1.61
B (0.9221, 0.6952, 0.5625)  2 C 1.65-1.66, 1 B 1.76
C (0.0685, 0.3495, 0.9453)  3 C 1.54-1.56, 1 B 1.61
C (0.3107, 0.3257, 0.1852)  2 C 1.49-1.54, 2 B 1.56-1.66
C (0.3211, 0.4026, 0.7363)  2 C 1.49-1.54, 2 B 1.64-1.65
C (0.6789, 0.5974, 0.2637)  2 C 1.49-1.54, 2 B 1.64-1.65
C (0.6893, 0.6743, 0.8148)  2 C 1.49-1.54, 2 B 1.56-1.66
C (0.9315, 0.6505, 0.0547)  3 C 1.54-1.56, 1 B 1.61

**Excess energy over the best structure of this formula in the dataset**: 0.2228 eV per atom
**Energy of formation**: 374 meV per atom
**V**: 6.7 Å³/atom
**Fermi-level density of states**: 2.70 states/eV/cell
**E_tot**: -90.9 eV for the cell shown

Here is a relaxed structure of BC from Alexandria via LeMat-Bulk. Energies are from GGA-PBE.

a = 4.1985 Å, b = 4.1985 Å, c = 8.5984 Å
α = 115.59°, β = 115.59°, γ = 37.72°
Last column: nearest neighbours and their distance in Å.
Fractional coordinates of all 12 atoms:
B (0.0000, 0.0000, 0.0000)  3 C 1.57-1.68
B (0.0281, 0.0281, 0.5009)  3 C 1.58-1.69
B (0.2127, 0.2127, 0.7745)  2 C 1.60
B (0.2897, 0.2897, 0.1188)  3 C 1.49-1.61
B (0.3539, 0.3539, 0.6528)  3 C 1.59-1.73
B (0.6811, 0.6811, 0.3161)  3 C 1.58-1.62
C (0.1823, 0.1823, 0.2230)  3 B 1.49-1.58
C (0.4845, 0.4845, 0.8783)  1 C 1.57, 3 B 1.68-1.73
C (0.5981, 0.5981, 0.4570)  3 B 1.58-1.62
C (0.6605, 0.6605, 0.8415)  2 C 1.57-1.58, 2 B 1.60
C (0.8236, 0.8236, 0.0367)  3 B 1.57-1.61, 1 C 1.58
C (0.8492, 0.8492, 0.5556)  3 B 1.59-1.69

**Excess energy over the best structure of this formula in the dataset**: 0.2690 eV per atom
**Energy of formation**: 420 meV per atom
**V**: 6.9 Å³/atom
**Fermi-level density of states**: 1.58 states/eV/cell
**E_tot**: -90.4 eV for the cell shown

Here is a relaxed structure of B7C5 from Alexandria via LeMat-Bulk. Energies are from GGA-PBE.

a = 6.1472 Å, b = 6.1472 Å, c = 5.0409 Å
α = 98.19°, β = 98.19°, γ = 25.64°
Last column: nearest neighbours and their distance in Å.
Fractional coordinates of all 12 atoms:
B (0.0000, 0.0000, 0.0000)  2 C 1.62, 1 B 1.80
B (0.1072, 0.1072, 0.3126)  3 C 1.66-1.81, 1 B 1.80
B (0.2702, 0.2702, 0.1505)  3 C 1.55-1.58
B (0.3357, 0.3357, 0.6840)  3 C 1.59-1.60
B (0.5074, 0.5074, 0.5431)  2 C 1.66-1.75, 3 B 1.79-1.81
B (0.6164, 0.6164, 0.8321)  2 C 1.59
B (0.9577, 0.9577, 0.3276)  1 C 1.58
C (0.1504, 0.1504, 0.9841)  3 B 1.55-1.59
C (0.4624, 0.4624, 0.8398)  4 B 1.60-1.66
C (0.6482, 0.6482, 0.4870)  1 C 1.56, 2 B 1.66
C (0.7790, 0.7790, 0.5709)  2 C 1.56-1.71, 2 B 1.59
C (0.8247, 0.8247, 0.2651)  3 B 1.58, 1 C 1.71

**Excess energy over the best structure of this formula in the dataset**: 0.1470 eV per atom
**Energy of formation**: 311 meV per atom
**V**: 6.8 Å³/atom
**Fermi-level density of states**: 1.93 states/eV/cell
**E_tot**: -89.1 eV for the cell shown

Here is a relaxed structure of B7C5 from Alexandria via LeMat-Bulk. Energies are from GGA-PBE.

a = 5.1796 Å, b = 2.6039 Å, c = 6.6422 Å
α = 90.00°, β = 96.72°, γ = 90.00°
Last column: nearest neighbours and their distance in Å.
Fractional coordinates of all 12 atoms:
B (0.0000, 0.0000, 0.0000)  1 C 1.50
B (0.0470, 0.5000, 0.5794)  3 B 1.71-1.91, 1 C 1.80
B (0.1142, 0.5000, 0.8382)  1 C 1.67, 3 B 1.71-1.83
B (0.2559, 0.0000, 0.4645)  2 C 1.64-1.73
B (0.3164, 0.5000, 0.1016)  3 C 1.54-1.61
B (0.5032, 0.0000, 0.7980)  3 C 1.53-1.59
B (0.8258, 0.5000, 0.3113)  3 C 1.54-1.56
C (0.2255, 0.0000, 0.2166)  4 B 1.61-1.74, 1 C 1.66
C (0.4358, 0.5000, 0.9001)  4 B 1.53-1.67
C (0.5773, 0.0000, 0.5721)  2 C 1.52, 1 B 1.59
C (0.6998, 0.5000, 0.5105)  2 C 1.52, 1 B 1.54
C (0.9028, 0.0000, 0.2037)  3 B 1.50-1.56, 1 C 1.66

**Excess energy over the best structure of this formula in the dataset**: 0.2204 eV per atom
**Energy of formation**: 385 meV per atom
**V**: 7.4 Å³/atom
**Fermi-level density of states**: 1.37 states/eV/cell
**E_tot**: -88.2 eV for the cell shown